No. 1
Entry from Alexandria via LeMat-Bulk: a relaxed Pm3Ag4Au2 crystal (GGA-PBE).

Results
The calculation puts the formation energy at -0.45 eV per atom. The total magnetization is 0.00 μB per formula unit.

Unit cell a=10.8570 b=4.7800 c=9.0603 alpha=90.00 beta=117.35 gamma=90.00
Space group C2/m (No. 12)
Symmetry-distinct sites (fractional):
Pm  0.0000  0.0000  0.0000
Pm  0.1785  0.5000  0.6477
Ag  0.0253  0.0000  0.3653
Ag  0.2250  0.5000  0.0591
Au  0.0948  0.5000  0.2650

---

No. 2
Entry from Alexandria via LeMat-Bulk: a relaxed SmCS crystal (GGA-PBE).

Results
The energy relative to the lowest polymorph listed for this composition comes out at 0.0 meV per atom. The calculation puts the uncorrected formation energy at -0.97 eV/atom. The total magnetization is 0.00 μB per formula unit.

Unit cell a=8.3112 b=4.2926 c=6.9730 alpha=90.00 beta=90.08 gamma=90.00
Space group C2/m (No. 12)
Symmetry-distinct sites (fractional):
Sm  0.1658  0.0000  0.2370
C  0.0752  0.5000  0.9847
S  0.1549  0.0000  0.6481

---

No. 3
Entry from Alexandria via LeMat-Bulk: a relaxed YSb2Cl crystal (GGA-PBE).

Results
The energy relative to the lowest polymorph listed for this composition comes out at 78.4 meV per atom. The calculation puts the uncorrected formation energy at -0.78 eV/atom. The total magnetization is 0.00 μB per formula unit.

Unit cell a=4.2294 b=4.2294 c=5.7221 alpha=90.00 beta=90.00 gamma=90.00
Space group P4/mmm (No. 123)
Symmetry-distinct sites (fractional):
Y  0.0000  0.0000  0.0000
Sb  0.0000  0.5000  0.5000
Cl  0.5000  0.5000  0.0000

---

No. 4
Entry from Alexandria via LeMat-Bulk: a relaxed Y2ScZn3 crystal (GGA-PBE).

Results
The energy relative to the lowest polymorph listed for this composition comes out at 2.0 meV per atom. The calculation puts the formation energy at -0.35 eV per atom. The total magnetization is 0.00 μB per formula unit.

Unit cell a=4.9567 b=4.9567 c=6.0951 alpha=90.00 beta=90.00 gamma=120.00
Space group P-3m1 (No. 164)
Symmetry-distinct sites (fractional):
Y  0.3333  0.6667  0.1798
Sc  0.0000  0.0000  0.5000
Zn  0.0000  0.0000  0.0000
Zn  0.3333  0.6667  0.6664

---

No. 5
Entry from Alexandria via LeMat-Bulk: a relaxed HfZr3Re crystal (GGA-PBE).

Results
The energy relative to the lowest polymorph listed for this composition comes out at 39.9 meV per atom. The calculation puts the formation energy at 0.68 eV per atom. The total magnetization is 0.00 μB per formula unit.

Unit cell a=5.2389 b=5.2389 c=19.8604 alpha=90.00 beta=90.00 gamma=90.00
Space group I-4m2 (No. 119)
Symmetry-distinct sites (fractional):
Hf  0.0000  0.0000  0.2235
Zr  0.0000  0.2499  0.6257
Zr  0.0000  0.5000  0.0268
Re  0.0000  0.0000  0.5000
Re  0.0000  0.5000  0.7500

---

No. 6
Entry from Alexandria via LeMat-Bulk: a relaxed TbSc2Sn crystal (GGA-PBE).

Results
The energy relative to the lowest polymorph listed for this composition comes out at 52.8 meV per atom. The calculation puts the formation energy at -0.41 eV per atom. The total magnetization is 0.74 μB per formula unit.

Unit cell a=4.6327 b=4.6327 c=4.5774 alpha=90.00 beta=90.00 gamma=90.00
Space group P4/mmm (No. 123)
Symmetry-distinct sites (fractional):
Tb  0.0000  0.0000  0.0000
Sc  0.0000  0.5000  0.5000
Sn  0.5000  0.5000  0.0000